(1)
Density functional theory data (PBE-GGA) for a relaxed structure of SiHgP2O.

Computed properties:
Its energy above the most stable polymorph in this dataset is 1373 meV per atom. The value obtained for the total magnetization is 0.00 μB/f.u. Its mass density is 4976 kg/m3. Its energy relative to the elements, uncorrected is 1.24 eV per atom.

abc: 5.0263 5.0263 4.0503
angles: 90.00 90.00 90.00
Fractional coordinates of all 5 atoms:
O (0.0000, 0.0000, 0.5000)
Si (0.5000, 0.5000, 0.5000)
P (0.5000, 0.0000, 0.0000)
P (0.0000, 0.5000, 0.0000)
Hg (0.0000, 0.0000, 0.0000)

(2)
Density functional theory data (PBE-GGA) for a relaxed structure of SrCa2Cl.

Computed properties:
Its energy above the most stable polymorph in this dataset is 179 meV per atom. The value obtained for the total magnetization is 0.00 μB/f.u. Its mass density is 2095 kg/m3. Its energy relative to the elements, uncorrected is -0.61 eV per atom.

abc: 9.4024 9.4024 7.5816
angles: 51.68 51.68 90.00
Fractional coordinates of all 8 atoms:
Ca (0.8750, 0.7789, 0.7500)
Ca (0.5289, 0.1250, 0.2500)
Ca (0.2211, 0.6250, 0.2500)
Ca (0.3750, 0.4711, 0.7500)
Cl (0.2500, 0.7500, 0.5000)
Cl (0.5000, 0.5000, 0.0000)
Sr (0.7500, 0.2500, 0.5000)
Sr (0.0000, 0.0000, 0.0000)